Record 1
This record from Alexandria via LeMat-Bulk describes a relaxed structure of LaHg3S. The functional is PBE.

Unit cell a=6.067 b=6.067 c=6.067 alpha=90.00 beta=90.00 gamma=90.00
Positions (direct):
1 La 0.000 0.000 0.000
2 S 0.500 0.500 0.500
3 Hg 0.000 0.000 0.500
4 Hg 0.000 0.500 0.000
5 Hg 0.500 0.000 0.000

Calculated values
- space-group type = Pm-3m (221)

=====

Record 2
This record from Alexandria via LeMat-Bulk describes a relaxed structure of La2HgS. The functional is PBE.

Unit cell a=4.113 b=4.113 c=8.357 alpha=75.75 beta=75.75 gamma=60.00
Positions (direct):
1 La 0.069 0.069 0.792
2 La 0.263 0.263 0.211
3 S 0.668 0.668 0.996
4 Hg 0.500 0.500 0.501

Calculated values
- space-group type = R3m (160)

=====

Record 3
This record from Alexandria via LeMat-Bulk describes a relaxed structure of La2HgS2. The functional is PBE.

Unit cell a=8.179 b=8.179 c=3.692 alpha=90.00 beta=90.00 gamma=90.00
Positions (direct):
1 Hg 0.000 0.000 0.000
2 Hg 0.500 0.500 0.000
3 S 0.863 0.637 0.000
4 S 0.137 0.363 0.000
5 S 0.363 0.863 0.000
6 S 0.637 0.137 0.000
7 La 0.161 0.661 0.500
8 La 0.839 0.339 0.500
9 La 0.339 0.161 0.500
10 La 0.661 0.839 0.500

Calculated values
- space-group type = P4/mbm (127)

=====

Record 4
This record from Alexandria via LeMat-Bulk describes a relaxed structure of La6Hg2S. The functional is PBE.

Unit cell a=6.912 b=7.910 c=10.943 alpha=90.00 beta=89.93 gamma=90.00
Positions (direct):
1 La 0.864 0.973 0.747
2 La 0.171 0.320 0.552
3 La 0.329 0.820 0.948
4 La 0.671 0.180 0.052
5 La 0.136 0.027 0.253
6 La 0.636 0.473 0.753
7 La 0.344 0.808 0.552
8 La 0.364 0.527 0.247
9 La 0.829 0.680 0.448
10 La 0.656 0.192 0.448
11 La 0.156 0.308 0.948
12 La 0.844 0.692 0.052
13 Hg 0.580 0.893 0.252
14 Hg 0.920 0.393 0.248
15 Hg 0.080 0.607 0.752
16 Hg 0.420 0.107 0.748
17 S 0.000 0.000 0.500
18 S 0.500 0.500 0.000

Calculated values
- space-group type = P2_1/c (14)

=====

no.,total magnetic moment (μB per formula unit),ρ (g cm⁻³),total DFT energy (no corrections) (eV/cell)
1,0.000,5.75,-6.98
2,0.001,7.22,-19.17
3,0.000,7.29,-51.77
4,0.000,7.03,-79.89